1.
A plane-wave DFT calculation with meta-GGA SCAN was carried out for a crystal of Rb3ZnAu relaxed with PBEsol.

Values from the calculation:
D(E_F) = 0.8554 states/eV/atom
E_form = 0.063 eV/atom
Crystal system = cubic
Energy above the lowest structure with this stoichiometry = 0.0000 eV/atom

```
data_Rb3ZnAu
_cell_length_a 6.481
_cell_length_b 6.481
_cell_length_c 6.481
_cell_angle_alpha 90.00
_cell_angle_beta 90.00
_cell_angle_gamma 90.00
_symmetry_space_group_name_H-M 'P m -3 m'
_symmetry_Int_Tables_number 221
_symmetry_space_group_name_Hall '-P 4 2 3'
loop_
_atom_site_label
_atom_site_type_symbol
_atom_site_fract_x
_atom_site_fract_y
_atom_site_fract_z
Rb1 Rb 0.000 0.000 0.500
Zn1 Zn 0.500 0.500 0.500
Au1 Au 0.000 0.000 0.000
```

=====

2.
A plane-wave DFT calculation with meta-GGA SCAN was carried out for a crystal of RbZnAu3 relaxed with PBEsol.

Values from the calculation:
D(E_F) = 0.1947 states/eV/atom
E_form = -0.099 eV/atom
Crystal system = cubic

```
data_RbZnAu3
_cell_length_a 4.952
_cell_length_b 4.952
_cell_length_c 4.952
_cell_angle_alpha 90.00
_cell_angle_beta 90.00
_cell_angle_gamma 90.00
_symmetry_space_group_name_H-M 'P m -3 m'
_symmetry_Int_Tables_number 221
_symmetry_space_group_name_Hall '-P 4 2 3'
loop_
_atom_site_label
_atom_site_type_symbol
_atom_site_fract_x
_atom_site_fract_y
_atom_site_fract_z
Rb1 Rb 0.000 0.000 0.000
Zn1 Zn 0.500 0.500 0.500
Au1 Au 0.000 0.500 0.500
```

=====

3.
A plane-wave DFT calculation with meta-GGA SCAN was carried out for a crystal of ReAu2 relaxed with PBEsol.

Values from the calculation:
D(E_F) = 0.8778 states/eV/atom
E_form = 0.485 eV/atom
Crystal system = tetragonal

```
data_ReAu2
_cell_length_a 2.709
_cell_length_b 2.709
_cell_length_c 26.747
_cell_angle_alpha 90.00
_cell_angle_beta 90.00
_cell_angle_gamma 90.00
_symmetry_space_group_name_H-M 'I 41/a m d'
_symmetry_Int_Tables_number 141
loop_
_symmetry_equiv_pos_as_xyz
'x,y,z'
'-x,-y,-z'
'-y+1/4,x+3/4,z+1/4'
'y+1/4,-x+3/4,-z+1/4'
'-x+1/2,-y,z+1/2'
'x+1/2,y,-z+1/2'
'y+1/4,-x+1/4,z+3/4'
'-y+1/4,x+1/4,-z+3/4'
'x,-y,-z'
'-x,y,z'
'-y+1/4,-x+1/4,-z+3/4'
'y+1/4,x+1/4,z+3/4'
'-x+1/2,y,-z+1/2'
'x+1/2,-y,z+1/2'
'y+1/4,x+3/4,-z+1/4'
'-y+1/4,-x+3/4,z+1/4'
'x+1/2,y+1/2,z+1/2'
'-x+1/2,-y+1/2,-z+1/2'
'-y+3/4,x+1/4,z+3/4'
'y+3/4,-x+1/4,-z+3/4'
'-x,-y+1/2,z'
'x,y+1/2,-z'
'y+3/4,-x+3/4,z+1/4'
'-y+3/4,x+3/4,-z+1/4'
'x+1/2,-y+1/2,-z+1/2'
'-x+1/2,y+1/2,z+1/2'
'-y+3/4,-x+3/4,-z+1/4'
'y+3/4,x+3/4,z+1/4'
'-x,y+1/2,-z'
'x,-y+1/2,z'
'y+3/4,x+1/4,-z+3/4'
'-y+3/4,-x+1/4,z+3/4'
loop_
_atom_site_label
_atom_site_type_symbol
_atom_site_fract_x
_atom_site_fract_y
_atom_site_fract_z
Re1 Re 0.000 0.250 0.375
Au1 Au 0.000 0.250 0.797
```

=====

4.
A plane-wave DFT calculation with meta-GGA SCAN was carried out for a crystal of ReRhAu2 relaxed with PBEsol.

Values from the calculation:
D(E_F) = 0.7041 states/eV/atom
E_form = 0.205 eV/atom
Crystal system = orthorhombic
Energy above the lowest structure with this stoichiometry = 0.0000 eV/atom

```
data_ReRhAu2
_cell_length_a 2.775
_cell_length_b 3.879
_cell_length_c 5.710
_cell_angle_alpha 90.00
_cell_angle_beta 90.00
_cell_angle_gamma 90.00
_symmetry_space_group_name_H-M 'P m m 2'
_symmetry_Int_Tables_number 25
_symmetry_space_group_name_Hall 'P 2 -2'
loop_
_atom_site_label
_atom_site_type_symbol
_atom_site_fract_x
_atom_site_fract_y
_atom_site_fract_z
Re1 Re 0.000 0.000 0.000
Rh1 Rh 0.500 0.500 0.200
Au1 Au 0.000 0.000 0.473
Au2 Au 0.500 0.500 0.732
```

=====

5.
A plane-wave DFT calculation with meta-GGA SCAN was carried out for a crystal of ReRhAu3 relaxed with PBEsol.

Values from the calculation:
D(E_F) = 0.9784 states/eV/atom
E_form = 1.682 eV/atom
Crystal system = cubic

```
data_ReRhAu3
_cell_length_a 4.864
_cell_length_b 4.864
_cell_length_c 4.864
_cell_angle_alpha 90.00
_cell_angle_beta 90.00
_cell_angle_gamma 90.00
_symmetry_space_group_name_H-M 'P m -3 m'
_symmetry_Int_Tables_number 221
_symmetry_space_group_name_Hall '-P 4 2 3'
loop_
_atom_site_label
_atom_site_type_symbol
_atom_site_fract_x
_atom_site_fract_y
_atom_site_fract_z
Re1 Re 0.000 0.000 0.000
Rh1 Rh 0.500 0.500 0.500
Au1 Au 0.000 0.000 0.500
```

=====

6.
A plane-wave DFT calculation with meta-GGA SCAN was carried out for a crystal of ReRh2Au relaxed with PBEsol.

Values from the calculation:
D(E_F) = 0.7954 states/eV/atom
E_form = 0.135 eV/atom
Crystal system = orthorhombic
Energy above the lowest structure with this stoichiometry = 0.2173 eV/atom

```
data_ReRh2Au
_cell_length_a 2.732
_cell_length_b 3.911
_cell_length_c 5.428
_cell_angle_alpha 90.00
_cell_angle_beta 90.00
_cell_angle_gamma 90.00
_symmetry_space_group_name_H-M 'P m m 2'
_symmetry_Int_Tables_number 25
_symmetry_space_group_name_Hall 'P 2 -2'
loop_
_atom_site_label
_atom_site_type_symbol
_atom_site_fract_x
_atom_site_fract_y
_atom_site_fract_z
Re1 Re 0.000 0.000 0.000
Rh1 Rh 0.000 0.000 0.471
Rh2 Rh 0.500 0.500 0.213
Au1 Au 0.500 0.500 0.723
```

=====

7.
A plane-wave DFT calculation with meta-GGA SCAN was carried out for a crystal of ReRh2Au relaxed with PBEsol.

Values from the calculation:
D(E_F) = 0.8074 states/eV/atom
E_form = -0.082 eV/atom
Crystal system = tetragonal
Energy above the lowest structure with this stoichiometry = 0.0000 eV/atom

```
data_ReRh2Au
_cell_length_a 2.748
_cell_length_b 2.748
_cell_length_c 7.724
_cell_angle_alpha 90.00
_cell_angle_beta 90.00
_cell_angle_gamma 90.00
_symmetry_space_group_name_H-M 'P 4/m m m'
_symmetry_Int_Tables_number 123
_symmetry_space_group_name_Hall '-P 4 2'
loop_
_atom_site_label
_atom_site_type_symbol
_atom_site_fract_x
_atom_site_fract_y
_atom_site_fract_z
Re1 Re 0.000 0.000 0.000
Rh1 Rh 0.500 0.500 0.230
Au1 Au 0.000 0.000 0.500
```

=====

8.
A plane-wave DFT calculation with meta-GGA SCAN was carried out for a crystal of Re2RhAu relaxed with PBEsol.

Values from the calculation:
D(E_F) = 1.0078 states/eV/atom
E_form = 0.325 eV/atom
Crystal system = tetragonal
Energy above the lowest structure with this stoichiometry = 0.1629 eV/atom

```
data_Re2RhAu
_cell_length_a 3.807
_cell_length_b 3.807
_cell_length_c 4.042
_cell_angle_alpha 90.00
_cell_angle_beta 90.00
_cell_angle_gamma 90.00
_symmetry_space_group_name_H-M 'P 4/m m m'
_symmetry_Int_Tables_number 123
_symmetry_space_group_name_Hall '-P 4 2'
loop_
_atom_site_label
_atom_site_type_symbol
_atom_site_fract_x
_atom_site_fract_y
_atom_site_fract_z
Re1 Re 0.000 0.500 0.000
Rh1 Rh 0.000 0.000 0.500
Au1 Au 0.500 0.500 0.500
```